# ThB4Pt | the Open Quantum Materials Database | PBE | relaxed
# SG: No. 71
# E (Ry/atom): -0.5004
# Total moment (Bohr magnetons per cell): 0.002
data_ThB4Pt
_chemical_formula_sum 'Th1 B4 Pt1'
_cell_length_a 5.284
_cell_length_b 5.284
_cell_length_c 5.284
_cell_angle_alpha 144.44
_cell_angle_beta 121.17
_cell_angle_gamma 70.66
_symmetry_space_group_name_H-M 'P 1'
_symmetry_Int_Tables_number 1
loop_
_symmetry_equiv_pos_as_xyz
'x,y,z'
loop_
_atom_site_label
_atom_site_fract_x
_atom_site_fract_y
_atom_site_fract_z
Pt1 0.000 0.000 0.000
Th1 0.500 0.500 0.000
B1 0.542 0.231 0.311
B2 0.920 0.231 0.689
B3 0.080 0.769 0.311
B4 0.458 0.769 0.689